Computed, not measured: crystalline Zr2ZnPt at its relaxed geometry at the GGA-PBEsol level of DFT.

Computed properties:
DFT total energy (eV/atom): -7.325
Crystal system: orthorhombic
ΔH_f (0 K) (eV per atom): -0.6437
Total magnetic moment (μB per formula unit): 0.000

Structure (CIF):
```
data_Zr2ZnPt
_chemical_formula_sum 'Zr4 Zn2 Pt2'
_symmetry_space_group_name_H-M 'A m m 2'
_symmetry_Int_Tables_number 38
_cell_length_a 4.241
_cell_length_b 3.358
_cell_length_c 10.313
_cell_angle_alpha 90.00
_cell_angle_beta 90.00
_cell_angle_gamma 90.00
loop_
_symmetry_equiv_pos_as_xyz
'x,y,z'
'-x,-y,z'
'-x,y,z'
'x,-y,z'
'x,y+1/2,z+1/2'
'-x,-y+1/2,z+1/2'
'-x,y+1/2,z+1/2'
'x,-y+1/2,z+1/2'
loop_
_atom_site_label
_atom_site_type_symbol
_atom_site_fract_x
_atom_site_fract_y
_atom_site_fract_z
Zr1 Zr 0.000 0.000 0.000
Zr2 Zr 0.500 0.000 0.295
Zn1 Zn 0.000 0.000 0.728
Pt1 Pt 0.500 0.000 0.570
```